(1)
## Zr4ScSe8 (PBE)

Data for Zr4ScSe8 after structural relaxation.

Cell lengths 7.7703, 7.7703, 7.7703 Å; angles 57.92, 57.92, 57.92 degrees
Closest atoms and distances in Å follow each position.
Sites, in units of the cell vectors:
Zr (0.0000, 0.0000, 0.0000)  6 Se 2.71
Zr (0.0000, 0.5000, 0.5000)  6 Se 2.70-2.75
Zr (0.5000, 0.0000, 0.5000)  6 Se 2.70-2.75
Zr (0.5000, 0.5000, 0.0000)  6 Se 2.70-2.75
Sc (0.5000, 0.5000, 0.5000)  6 Se 2.70
Se (0.2416, 0.7496, 0.7496)  1 Sc 2.70, 3 Zr 2.71-2.75
Se (0.2504, 0.2504, 0.7584)  1 Sc 2.70, 3 Zr 2.71-2.75
Se (0.2504, 0.7584, 0.2504)  1 Sc 2.70, 3 Zr 2.71-2.75
Se (0.2506, 0.2506, 0.2506)  3 Zr 2.70
Se (0.7494, 0.7494, 0.7494)  3 Zr 2.70
Se (0.7496, 0.2416, 0.7496)  1 Sc 2.70, 3 Zr 2.71-2.75
Se (0.7496, 0.7496, 0.2416)  1 Sc 2.70, 3 Zr 2.71-2.75
Se (0.7584, 0.2504, 0.2504)  1 Sc 2.70, 3 Zr 2.71-2.75

Crystal system: trigonal
D(E_F) (states/eV per atom): 0.41
Energy (Ha/atom): -0.246
Mass density (g/cm³): 5.5
Energy relative to the elements, uncorrected (meV per atom): -1430


(2)
## CrCuMo2 (PBE)

Data for CrCuMo2 after structural relaxation.

Cell lengths 2.5315, 4.1435, 5.4067 Å; angles 90.00, 90.00, 90.00 degrees
Closest atoms and distances in Å follow each position.
Sites, in units of the cell vectors:
Cr (0.0000, 0.0000, 0.0000)  2 Cr 2.53, 5 Mo 2.56-2.78, 4 Cu 2.74
Cu (0.5000, 0.5000, 0.2333)  2 Cu 2.53, 6 Mo 2.62-2.79, 4 Cr 2.74
Mo (0.0000, 0.0000, 0.4734)  2 Mo 2.53, 1 Cr 2.56, 4 Cu 2.75
Mo (0.5000, 0.5000, 0.7493)  2 Mo 2.53, 2 Cu 2.62-2.79, 4 Cr 2.78

Crystal system: orthorhombic
D(E_F) (states/eV per atom): 0.98
Energy (Ha/atom): -0.312
Mass density (g/cm³): 9.0
ΔE_f (eV/atom): 0.3441
Excess energy over the best structure of this formula in the dataset (eV/atom): 0.172


(3)
## DyHoEr2Bi4 (PBE)

Data for DyHoEr2Bi4 after structural relaxation.

Cell lengths 7.7132, 4.4571, 7.7135 Å; angles 90.00, 109.46, 90.00 degrees
Closest atoms and distances in Å follow each position.
Sites, in units of the cell vectors:
Dy (0.0000, 0.0000, 0.0000)  6 Bi 3.16
Ho (0.0000, 0.5000, 0.5000)  6 Bi 3.15
Er (0.5000, 0.0000, 0.5000)  6 Bi 3.14
Er (0.5000, 0.5000, 0.0000)  6 Bi 3.14-3.15
Bi (0.2514, 0.0000, 0.7500)  3 Er 3.14-3.15, 2 Ho 3.15, 1 Dy 3.16
Bi (0.2518, 0.5000, 0.2511)  3 Er 3.14, 1 Ho 3.15, 2 Dy 3.16
Bi (0.7482, 0.5000, 0.7489)  3 Er 3.14, 1 Ho 3.15, 2 Dy 3.16
Bi (0.7486, 0.0000, 0.2500)  3 Er 3.14-3.15, 2 Ho 3.15, 1 Dy 3.16

Crystal system: monoclinic
D(E_F) (states/eV per atom): 0.16
Energy (Ha/atom): -0.186
Mass density (g/cm³): 9.9
ΔE_f (eV/atom): -0.8297


(4)
## KCd8Pt4 (PBE)

Data for KCd8Pt4 after structural relaxation.

Cell lengths 7.4242, 7.4242, 7.4242 Å; angles 98.68, 98.68, 134.27 degrees
Closest atoms and distances in Å follow each position.
Sites, in units of the cell vectors:
K (0.0000, 0.0000, 0.0000)  12 Cd 3.24-3.60
Cd (0.0000, 0.3344, 0.3344)  4 Pt 2.93, 5 Cd 3.08-3.20, 1 K 3.24
Cd (0.0000, 0.6656, 0.6656)  4 Pt 2.93, 5 Cd 3.08-3.20, 1 K 3.24
Cd (0.2767, 0.5000, 0.7767)  4 Pt 2.83, 6 Cd 3.06-3.12
Cd (0.3344, 0.0000, 0.3344)  4 Pt 2.93, 5 Cd 3.08-3.20, 1 K 3.24
Cd (0.5000, 0.2767, 0.7767)  4 Pt 2.83, 6 Cd 3.06-3.12
Cd (0.5000, 0.7233, 0.2233)  4 Pt 2.83, 6 Cd 3.06-3.12
Cd (0.6656, 0.0000, 0.6656)  4 Pt 2.93, 5 Cd 3.08-3.20, 1 K 3.24
Cd (0.7233, 0.5000, 0.2233)  4 Pt 2.83, 6 Cd 3.06-3.12
Pt (0.0000, 0.0000, 0.5000)  8 Cd 2.83-2.93, 2 Pt 2.88
Pt (0.0000, 0.5000, 0.0000)  8 Cd 2.83-2.93, 2 Pt 2.88
Pt (0.5000, 0.0000, 0.0000)  8 Cd 2.83-2.93, 2 Pt 2.88
Pt (0.5000, 0.5000, 0.5000)  8 Cd 2.83-2.93, 2 Pt 2.88

Crystal system: tetragonal
D(E_F) (states/eV per atom): 0.30
Energy (Ha/atom): -0.103
Mass density (g/cm³): 10.6
ΔE_f (eV/atom): -0.2964


(5)
## Nd2Co3Ni (PBE)

Data for Nd2Co3Ni after structural relaxation.

Cell lengths 7.9648, 7.8776, 5.7003 Å; angles 69.73, 68.10, 42.17 degrees
Closest atoms and distances in Å follow each position.
Sites, in units of the cell vectors:
Nd (0.2482, 0.7518, 0.2482)  10 Co 3.04-3.08, 2 Ni 3.06
Nd (0.2500, 0.2500, 0.2500)  4 Ni 3.07, 8 Co 3.08-3.09
Nd (0.7500, 0.7500, 0.7500)  4 Ni 3.07, 8 Co 3.08-3.09
Nd (0.7518, 0.2482, 0.7518)  10 Co 3.04-3.08, 2 Ni 3.06
Co (0.1726, 0.6633, 0.8274)  2 Co 2.23-2.24, 1 Ni 2.32
Co (0.3366, 0.3366, 0.6634)  2 Co 2.23, 1 Ni 2.31
Co (0.3367, 0.8274, 0.6633)  2 Co 2.23-2.24, 1 Ni 2.32
Co (0.6633, 0.1726, 0.3367)  2 Co 2.23-2.24, 1 Ni 2.32
Co (0.6634, 0.6634, 0.3366)  2 Co 2.23, 1 Ni 2.31
Co (0.8274, 0.3367, 0.1726)  2 Co 2.23-2.24, 1 Ni 2.32
Ni (0.1670, 0.1670, 0.8330)  3 Co 2.31-2.32
Ni (0.8330, 0.8330, 0.1670)  3 Co 2.31-2.32

Crystal system: orthorhombic
D(E_F) (states/eV per atom): 1.25
Energy (Ha/atom): -0.228
Mass density (g/cm³): 7.9
ΔE_f (eV/atom): -0.1097


(6)
## HfPa2CoS5 (PBE)

Data for HfPa2CoS5 after structural relaxation.

Cell lengths 8.0941, 8.0941, 11.4513 Å; angles 90.00, 90.00, 153.90 degrees
Closest atoms and distances in Å follow each position.
Sites, in units of the cell vectors:
Hf (0.1752, 0.8248, 0.5000)  6 S 2.51-2.63
Hf (0.8248, 0.1752, 0.0000)  6 S 2.51-2.63
Pa (0.1077, 0.8923, 0.8299)  7 S 2.69-2.98
Pa (0.1184, 0.8816, 0.1838)  8 S 2.71-2.99
Pa (0.8816, 0.1184, 0.6838)  8 S 2.71-2.99
Pa (0.8923, 0.1077, 0.3299)  7 S 2.69-2.98
Co (0.4408, 0.5592, 0.9000)  4 S 2.15-2.26
Co (0.5592, 0.4408, 0.4000)  4 S 2.15-2.26
S (0.0159, 0.9841, 0.5000)  2 Co 2.26, 1 Hf 2.51
S (0.3053, 0.6947, 0.1626)  2 Hf 2.63
S (0.3079, 0.6921, 0.8449)  1 Co 2.19
S (0.3415, 0.6585, 0.5032)  1 Hf 2.62, 4 Pa 2.81-2.83
S (0.4963, 0.5037, 0.2331)  1 Co 2.15
S (0.5037, 0.4963, 0.7331)  1 Co 2.15
S (0.6585, 0.3415, 0.0032)  1 Hf 2.62, 4 Pa 2.81-2.83
S (0.6921, 0.3079, 0.3449)  1 Co 2.19
S (0.6947, 0.3053, 0.6626)  2 Hf 2.63
S (0.9841, 0.0159, 0.0000)  2 Co 2.26, 1 Hf 2.51

Crystal system: orthorhombic
D(E_F) (states/eV per atom): 0.79
Energy (Ha/atom): -0.285
Mass density (g/cm³): 8.7
Energy relative to the elements, uncorrected (meV per atom): -1449


(7)
## Sr2MgTa (PBE)

Data for Sr2MgTa after structural relaxation.

Cell lengths 3.3953, 3.3953, 10.4788 Å; angles 90.00, 90.00, 90.00 degrees
Closest atoms and distances in Å follow each position.
Sites, in units of the cell vectors:
Sr (0.0000, 0.0000, 0.2334)  4 Sr 3.40, 4 Ta 3.43, 4 Mg 3.68
Sr (0.0000, 0.0000, 0.7666)  4 Sr 3.40, 4 Ta 3.43, 4 Mg 3.68
Mg (0.5000, 0.5000, 0.5000)  4 Mg 3.40, 8 Sr 3.68
Ta (0.5000, 0.5000, 0.0000)  4 Ta 3.40, 8 Sr 3.43

Crystal system: tetragonal
D(E_F) (states/eV per atom): 1.11
Energy (Ha/atom): -0.130
Mass density (g/cm³): 5.2
ΔE_f (eV/atom): 0.6724


(8)
## Li4TlI5 (PBE)

Data for Li4TlI5 after structural relaxation.

Cell lengths 4.6259, 4.6259, 40.4477 Å; angles 90.00, 90.00, 120.00 degrees
Closest atoms and distances in Å follow each position.
Sites, in units of the cell vectors:
Li (0.0000, 0.0000, 0.0000)  4 I 2.79-2.83
Li (0.0000, 0.0000, 0.1798)  4 I 2.80-2.82
Li (0.0000, 0.0000, 0.3610)  4 I 2.80-2.82
Li (0.0000, 0.0000, 0.5411)  4 I 2.81
Li (0.0000, 0.0000, 0.7707)  4 I 2.81-2.83
Li (0.6667, 0.3333, 0.0894)  4 I 2.80-2.81
Li (0.6667, 0.3333, 0.2705)  4 I 2.80-2.82
Li (0.6667, 0.3333, 0.4512)  4 I 2.80-2.82
Tl (0.6667, 0.3333, 0.6524)  4 I 3.31-3.62
Tl (0.6667, 0.3333, 0.8818)  4 I 3.31-3.63
I (0.0000, 0.0000, 0.1101)  4 Li 2.80-2.82
I (0.0000, 0.0000, 0.2912)  4 Li 2.80-2.82
I (0.0000, 0.0000, 0.4716)  4 Li 2.80-2.81
I (0.0000, 0.0000, 0.7007)  1 Li 2.83
I (0.0000, 0.0000, 0.9300)  1 Li 2.83
I (0.6667, 0.3333, 0.0199)  4 Li 2.79-2.81
I (0.6667, 0.3333, 0.2007)  4 Li 2.80-2.82
I (0.6667, 0.3333, 0.3816)  4 Li 2.80-2.82
I (0.6667, 0.3333, 0.5629)  3 Li 2.81
I (0.6667, 0.3333, 0.7921)  3 Li 2.81

Crystal system: trigonal
D(E_F) (states/eV per atom): 0.00
Energy (Ha/atom): -0.105
Mass density (g/cm³): 3.8
Energy relative to the elements, uncorrected (meV per atom): -1076


(9)
## Tb4SnBiTe2 (PBE)

Data for Tb4SnBiTe2 after structural relaxation.

Cell lengths 7.6479, 4.4298, 7.6783 Å; angles 90.00, 109.47, 90.00 degrees
Closest atoms and distances in Å follow each position.
Sites, in units of the cell vectors:
Tb (0.2395, 0.0000, 0.2406)  2 Sn 3.07, 1 Bi 3.12, 3 Te 3.14-3.19
Tb (0.2423, 0.5000, 0.7541)  1 Sn 3.06, 2 Bi 3.12, 3 Te 3.14-3.20
Tb (0.7577, 0.5000, 0.2459)  1 Sn 3.06, 2 Bi 3.12, 3 Te 3.14-3.20
Tb (0.7605, 0.0000, 0.7594)  2 Sn 3.07, 1 Bi 3.12, 3 Te 3.14-3.19
Sn (0.0000, 0.5000, 0.0000)  6 Tb 3.06-3.07
Bi (0.0000, 0.0000, 0.5000)  6 Tb 3.12
Te (0.5000, 0.0000, 0.0000)  6 Tb 3.14
Te (0.5000, 0.5000, 0.5000)  6 Tb 3.19-3.20

Crystal system: monoclinic
D(E_F) (states/eV per atom): 0.20
Energy (Ha/atom): -0.191
Mass density (g/cm³): 8.3
Energy relative to the elements, uncorrected (meV per atom): -1108


(10)
## UPdRh4Se8 (PBE)

Data for UPdRh4Se8 after structural relaxation.

Cell lengths 7.3614, 7.3614, 7.3614 Å; angles 63.12, 63.12, 63.12 degrees
Closest atoms and distances in Å follow each position.
Sites, in units of the cell vectors:
U (0.0000, 0.0000, 0.0000)  6 Se 2.73-2.74
Pd (0.3738, 0.3738, 0.3738)  4 Se 2.42-2.48
Rh (0.0010, 0.0010, 0.5003)  6 Se 2.53-2.56
Rh (0.0010, 0.5003, 0.0010)  6 Se 2.53-2.56
Rh (0.5003, 0.0010, 0.0010)  6 Se 2.53-2.56
Rh (0.6266, 0.6266, 0.6266)  4 Se 2.40-2.43
Se (0.2361, 0.2361, 0.2361)  1 Pd 2.42, 3 Rh 2.53
Se (0.2371, 0.7421, 0.7421)  3 Rh 2.43-2.56
Se (0.2564, 0.2564, 0.7705)  1 Pd 2.48, 2 Rh 2.54, 1 U 2.73
Se (0.2564, 0.7705, 0.2564)  1 Pd 2.48, 2 Rh 2.54, 1 U 2.73
Se (0.7421, 0.2371, 0.7421)  3 Rh 2.43-2.56
Se (0.7421, 0.7421, 0.2371)  3 Rh 2.43-2.56
Se (0.7629, 0.7629, 0.7629)  4 Rh 2.40-2.56
Se (0.7705, 0.2564, 0.2564)  1 Pd 2.48, 2 Rh 2.54, 1 U 2.73

Crystal system: trigonal
D(E_F) (states/eV per atom): 1.02
Energy (Ha/atom): -0.212
Mass density (g/cm³): 7.6
Energy relative to the elements, uncorrected (meV per atom): -492


Question: What is the formula in the ninth record?
Answer: Tb4SnBiTe2


Please write out number 9 again, unchanged.
## Tb4SnBiTe2 (PBE)

Data for Tb4SnBiTe2 after structural relaxation.

Cell lengths 7.6479, 4.4298, 7.6783 Å; angles 90.00, 109.47, 90.00 degrees
Closest atoms and distances in Å follow each position.
Sites, in units of the cell vectors:
Tb (0.2395, 0.0000, 0.2406)  2 Sn 3.07, 1 Bi 3.12, 3 Te 3.14-3.19
Tb (0.2423, 0.5000, 0.7541)  1 Sn 3.06, 2 Bi 3.12, 3 Te 3.14-3.20
Tb (0.7577, 0.5000, 0.2459)  1 Sn 3.06, 2 Bi 3.12, 3 Te 3.14-3.20
Tb (0.7605, 0.0000, 0.7594)  2 Sn 3.07, 1 Bi 3.12, 3 Te 3.14-3.19
Sn (0.0000, 0.5000, 0.0000)  6 Tb 3.06-3.07
Bi (0.0000, 0.0000, 0.5000)  6 Tb 3.12
Te (0.5000, 0.0000, 0.0000)  6 Tb 3.14
Te (0.5000, 0.5000, 0.5000)  6 Tb 3.19-3.20

Crystal system: monoclinic
D(E_F) (states/eV per atom): 0.20
Energy (Ha/atom): -0.191
Mass density (g/cm³): 8.3
Energy relative to the elements, uncorrected (meV per atom): -1108


Question: What is the D(E_F) in the sixth record?
Answer: 0.79 states/eV per atom